A plane-wave DFT calculation with PBE was carried out for a geometry-optimized Ta2ZnAs structure.

```
4
Lattice="-2.107 2.107 3.717 2.107 -2.107 3.717 2.107 2.107 -3.717" Properties=species:S:1:pos:R:3 pbc="T T T"
Ta 2.107 0.000 1.859
Ta 0.000 2.107 1.859
Zn 0.000 0.000 0.000
As 0.000 0.000 3.717
```

Results
Excess energy over the best structure of this formula in the dataset: 133.6 meV per atom
Symmetry: I4/mmm (139)
Energy: -29.3 eV for the cell shown
ΔH_f (0 K): 0.079 eV/atom